# 1
## TmTiAgPd (PBE)

Data for a relaxed TmTiAgPd crystal.

Unit cell a=6.7679 b=6.7679 c=6.7679 alpha=90.00 beta=90.00 gamma=90.00
Last column: nearest neighbours and their distance in Å.
Space group F-43m (No. 216)
One atom of each set of equivalent atoms:
1 Tm 0.0000 0.0000 0.0000 x4  4 Ag 2.93, 4 Pd 2.93
2 Ti 0.0000 0.0000 0.5000 x4  4 Pd 2.93, 4 Ag 2.93
3 Ag 0.2500 0.2500 0.7500 x4  4 Tm 2.93, 4 Ti 2.93
4 Pd 0.2500 0.2500 0.2500 x4  4 Tm 2.93, 4 Ti 2.93

Calculated values
calculated formation energy: -1.2 eV per formula unit

---

# 2
## YTi2AgPd (PBE)

Data for a relaxed YTi2AgPd crystal.

Unit cell a=4.8992 b=4.8992 c=4.9055 alpha=90.00 beta=90.00 gamma=90.00
Last column: nearest neighbours and their distance in Å.
Space group P4/mmm (No. 123)
One atom of each set of equivalent atoms:
1 Y 0.0000 0.0000 0.0000 x1  4 Ti 2.45, 2 Pd 2.45
2 Ti 0.0000 0.5000 0.0000 x2  2 Y 2.45
3 Ag 0.5000 0.5000 0.5000 x1  4 Pd 3.46, 8 Ti 3.47
4 Pd 0.0000 0.0000 0.5000 x1  2 Y 2.45

Calculated values
calculated formation energy: 6.5 eV per formula unit

---

# 3
## TiZnAgPd (PBE)

Data for a relaxed TiZnAgPd crystal.

Unit cell a=6.3228 b=6.3228 c=6.3228 alpha=90.00 beta=90.00 gamma=90.00
Last column: nearest neighbours and their distance in Å.
Space group F-43m (No. 216)
One atom of each set of equivalent atoms:
1 Ti 0.0000 0.0000 0.0000 x4  4 Ag 2.74, 4 Pd 2.74
2 Zn 0.0000 0.0000 0.5000 x4  4 Pd 2.74, 4 Ag 2.74
3 Ag 0.2500 0.2500 0.7500 x4  4 Zn 2.74, 4 Ti 2.74
4 Pd 0.2500 0.2500 0.2500 x4  4 Ti 2.74, 4 Zn 2.74

Calculated values
calculated formation energy: -1.0 eV per formula unit

---

# 4
## ZrTiAgPd (PBE)

Data for a relaxed ZrTiAgPd crystal.

Unit cell a=3.3721 b=3.3721 c=6.3667 alpha=90.00 beta=90.00 gamma=90.00
Last column: nearest neighbours and their distance in Å.
Space group P4mm (No. 99)
One atom of each set of equivalent atoms:
1 Zr 0.0000 0.0000 0.0000 x1  4 Pd 2.81, 4 Ti 3.00, 1 Ag 3.10
2 Ti 0.5000 0.5000 0.2856 x1  4 Ag 2.79, 4 Zr 3.00, 1 Pd 3.06
3 Ag 0.0000 0.0000 0.5130 x1  4 Ti 2.79, 4 Pd 2.88, 1 Zr 3.10
4 Pd 0.5000 0.5000 0.7662 x1  4 Zr 2.81, 4 Ag 2.88, 1 Ti 3.06

Calculated values
offset from the most stable computed form: 0.0000 eV per atom
calculated formation energy: -1.3 eV per formula unit

---

# 5
## ZrTiAgPd (PBE)

Data for a relaxed ZrTiAgPd crystal.

Unit cell a=6.6534 b=6.6534 c=6.6534 alpha=90.00 beta=90.00 gamma=90.00
Last column: nearest neighbours and their distance in Å.
Space group F-43m (No. 216)
One atom of each set of equivalent atoms:
1 Zr 0.0000 0.0000 0.0000 x4  4 Pd 2.88, 4 Ag 2.88
2 Ti 0.0000 0.0000 0.5000 x4  4 Pd 2.88, 4 Ag 2.88
3 Ag 0.2500 0.2500 0.7500 x4  4 Zr 2.88, 4 Ti 2.88
4 Pd 0.2500 0.2500 0.2500 x4  4 Zr 2.88, 4 Ti 2.88

Calculated values
offset from the most stable computed form: 0.1389 eV per atom
calculated formation energy: -0.7 eV per formula unit

---

# 6
## TlAg2Pd3 (PBE)

Data for a relaxed TlAg2Pd3 crystal.

Unit cell a=4.3231 b=13.0165 c=7.4079 alpha=90.00 beta=90.25 gamma=90.00
Last column: nearest neighbours and their distance in Å.
Space group C2/m (No. 12)
One atom of each set of equivalent atoms:
1 Tl 0.0000 0.1575 0.0000 x4  8 Pd 2.81-2.92, 2 Ag 2.98
2 Ag 0.0000 0.1676 0.5000 x4  8 Pd 2.82-2.86, 4 Ag 3.05-3.07
3 Ag 0.0000 0.5000 0.0000 x2  8 Pd 2.86-2.89, 4 Tl 2.98
4 Ag 0.0000 0.5000 0.5000 x2  8 Pd 2.80-2.87, 4 Ag 3.07
5 Pd 0.9998 0.0000 0.2585 x4  6 Ag 2.80-2.89, 2 Tl 2.81, 4 Pd 3.08
6 Pd 0.0002 0.3318 0.2489 x8  5 Ag 2.83-2.87, 3 Tl 2.84-2.92, 4 Pd 3.03-3.08

Calculated values
offset from the most stable computed form: 0.0107 eV per atom
calculated formation energy: -0.7 eV per formula unit

---

Q: Among the records above, which one has the lowest calculated formation energy?
A: number 4